1.
ErBeGa | PBE | optimized geometry

The total energy comes out at -0.2432 Ry per atom. The value obtained for the relative energy among the computed polymorphs is 542.2 meV per atom.

It has space group F-43m (No. 216), with a = 6.427 Å, b = 6.427 Å, c = 6.427 Å, α = 90.00°, β = 90.00° and γ = 90.00°. The inequivalent atoms are Er at (0.000, 0.000, 0.000), Be at (0.250, 0.250, 0.750) and Ga at (0.250, 0.250, 0.250).

---

2.
MgAgSeO | PBE | optimized geometry

The total energy comes out at -0.2828 Ry per atom. The value obtained for the relative energy among the computed polymorphs is 490.2 meV per atom.

It has space group P4/nmm (No. 129, origin choice 2), with a = 3.474 Å, b = 3.474 Å, c = 12.002 Å, α = 90.00°, β = 90.00° and γ = 90.00°. The inequivalent atoms are Mg at (0.250, 0.250, 0.081), Ag at (0.250, 0.750, 0.500), Se at (0.250, 0.250, 0.682) and O at (0.250, 0.250, 0.918).

---

3.
Mg2Sc2Cd3Au | PBE | optimized geometry

The total energy comes out at -0.2282 Ry per atom.

It has space group P-4m2 (No. 115), with a = 4.870 Å, b = 4.870 Å, c = 6.851 Å, α = 90.00°, β = 90.00° and γ = 90.00°. The inequivalent atoms are Mg at (0.000, 0.500, 0.242), Sc at (0.000, 0.500, 0.761), Cd at (0.000, 0.000, 0.000), Cd at (0.000, 0.000, 0.500), Cd at (0.500, 0.500, 0.500) and Au at (0.500, 0.500, 0.000).

---

Repeat the second record exactly.
MgAgSeO | PBE | optimized geometry

The total energy comes out at -0.2828 Ry per atom. The value obtained for the relative energy among the computed polymorphs is 490.2 meV per atom.

It has space group P4/nmm (No. 129, origin choice 2), with a = 3.474 Å, b = 3.474 Å, c = 12.002 Å, α = 90.00°, β = 90.00° and γ = 90.00°. The inequivalent atoms are Mg at (0.250, 0.250, 0.081), Ag at (0.250, 0.750, 0.500), Se at (0.250, 0.250, 0.682) and O at (0.250, 0.250, 0.918).

---

Copy entry 2 word for word.
MgAgSeO | PBE | optimized geometry

The total energy comes out at -0.2828 Ry per atom. The value obtained for the relative energy among the computed polymorphs is 490.2 meV per atom.

It has space group P4/nmm (No. 129, origin choice 2), with a = 3.474 Å, b = 3.474 Å, c = 12.002 Å, α = 90.00°, β = 90.00° and γ = 90.00°. The inequivalent atoms are Mg at (0.250, 0.250, 0.081), Ag at (0.250, 0.750, 0.500), Se at (0.250, 0.250, 0.682) and O at (0.250, 0.250, 0.918).